No. 1
VASP calculation (PBE) on a geometry-optimized Pr2Tm5 structure.

```
Pr2Tm5
1.0
5.030 0.000 0.000
-2.515 5.544 -0.761
0.000 -0.061 7.965
Tm Pr
5 2
Direct
0.500 0.000 0.500 Tm
0.214 0.427 0.643 Tm
0.356 0.713 0.072 Tm
0.644 0.287 0.928 Tm
0.786 0.573 0.357 Tm
0.928 0.856 0.783 Pr
0.072 0.144 0.217 Pr
```

## Properties
ΔE to the lowest computed polymorph ... 16 meV per atom
Symmetry ... C2/m (12)
Calculated formation energy ... 0.028 eV per atom
Final energy ... -0.1665 hartree per atom

=====

No. 2
VASP calculation (PBE) on a geometry-optimized Pr3Tm13 structure.

```
Pr3Tm13
1.0
-2.150 -1.892 -6.622
7.061 -4.404 -1.035
-4.491 -6.290 3.255
Tm Pr
13 3
Direct
0.750 0.543 0.457 Tm
0.500 0.789 0.211 Tm
0.500 0.214 0.296 Tm
0.251 0.955 0.537 Tm
0.000 0.707 0.789 Tm
0.250 0.543 0.457 Tm
0.500 0.294 0.706 Tm
0.251 0.463 0.045 Tm
0.000 0.789 0.211 Tm
0.749 0.955 0.537 Tm
0.500 0.704 0.786 Tm
0.749 0.463 0.045 Tm
0.000 0.211 0.293 Tm
0.747 0.039 0.961 Pr
0.000 0.293 0.707 Pr
0.253 0.039 0.961 Pr
```

## Properties
ΔE to the lowest computed polymorph ... 0 meV per atom
Symmetry ... Amm2 (38)
Calculated formation energy ... 0.011 eV per atom
Final energy ... -0.1660 hartree per atom

=====

No. 3
VASP calculation (PBE) on a geometry-optimized Pr8Tm structure.

```
Pr8Tm
1.0
-4.511 1.099 2.386
-6.165 -1.404 -5.301
-2.730 -6.849 3.704
Pr Tm
8 1
Direct
0.000 0.332 0.668 Pr
0.665 0.670 0.000 Pr
0.332 0.668 0.668 Pr
0.335 0.330 0.000 Pr
0.000 0.668 0.332 Pr
0.665 0.000 0.670 Pr
0.335 0.000 0.330 Pr
0.668 0.332 0.332 Pr
0.000 0.000 0.000 Tm
```

## Properties
Symmetry ... I4/mmm (139)
Calculated formation energy ... 0.015 eV per atom
Final energy ... -0.1738 hartree per atom

=====

No. 4
VASP calculation (PBE) on a geometry-optimized Pr3Tm13 structure.

```
Pr3Tm13
1.0
-5.496 -1.452 -4.192
4.427 -0.927 -5.426
0.797 -9.650 2.299
Tm Pr
13 3
Direct
0.252 0.253 0.000 Tm
0.252 0.251 0.500 Tm
0.001 0.501 0.748 Tm
0.498 0.502 0.253 Tm
0.748 0.252 0.500 Tm
0.749 0.748 0.500 Tm
0.499 0.999 0.252 Tm
0.747 0.748 0.000 Tm
0.001 0.501 0.252 Tm
0.253 0.747 0.000 Tm
0.499 0.999 0.748 Tm
0.253 0.747 0.500 Tm
0.498 0.502 0.747 Tm
0.001 0.999 0.251 Pr
0.747 0.253 0.000 Pr
0.001 0.999 0.749 Pr
```

## Properties
ΔE to the lowest computed polymorph ... 15 meV per atom
Symmetry ... Amm2 (38)
Calculated formation energy ... 0.026 eV per atom
Final energy ... -0.1655 hartree per atom

=====

No. 5
VASP calculation (PBE) on a geometry-optimized Pr5Tm7 structure.

```
Pr5Tm7
1.0
-2.051 2.118 -4.880
2.912 -4.821 0.014
-13.496 -4.784 3.594
Pr Tm
5 7
Direct
0.392 0.784 0.201 Pr
0.000 0.000 0.000 Pr
0.859 0.718 0.565 Pr
0.141 0.282 0.435 Pr
0.608 0.216 0.799 Pr
0.232 0.464 0.673 Tm
0.939 0.878 0.785 Tm
0.690 0.380 0.084 Tm
0.768 0.536 0.327 Tm
0.310 0.620 0.916 Tm
0.061 0.122 0.215 Tm
0.500 0.000 0.500 Tm
```

## Properties
ΔE to the lowest computed polymorph ... 168 meV per atom
Symmetry ... C2/m (12)
Calculated formation energy ... 0.179 eV per atom
Final energy ... -0.1625 hartree per atom

=====

No. 6
VASP calculation (PBE) on a geometry-optimized PrTm4 structure.

```
PrTm4
1.0
6.446 0.000 0.000
0.000 6.446 0.000
-3.223 -3.223 7.790
Pr Tm
2 8
Direct
0.000 0.000 0.000 Pr
0.750 0.250 0.500 Pr
0.180 0.327 0.847 Tm
0.082 0.729 0.653 Tm
0.673 0.332 0.153 Tm
0.077 0.918 0.347 Tm
0.570 0.923 0.653 Tm
0.479 0.820 0.153 Tm
0.271 0.430 0.347 Tm
0.668 0.521 0.847 Tm
```

## Properties
ΔE to the lowest computed polymorph ... 263 meV per atom
Symmetry ... I4_1/a (88)
Calculated formation energy ... 0.275 eV per atom
Final energy ... -0.1565 hartree per atom